# CrNi2TeP

A PBEsol-optimized structure of CrNi2TeP (SCAN, the Alexandria database).

Lattice parameters (Å, degrees): 4.2201 4.4066 4.4066 90.00 90.00 90.00
With the nearest neighbours (Å) after each atom.
Element x y z (fractional)
Ni: 0.0000 0.0000 0.5000  2 Cr 2.20
P: 0.5000 0.0000 0.0000  2 Cr 2.11
Te: 0.5000 0.5000 0.5000  8 Ni 3.05, 4 P 3.12
Cr: 0.0000 0.0000 0.0000  2 P 2.11, 4 Ni 2.20
Ni: 0.0000 0.5000 0.0000  2 Cr 2.20

Space group: P4/mmm, No. 123
ΔE_f (raw) (eV per formula unit): 4.424